## Tb2Sm (PBE)

Data for a relaxed structure of Tb2Sm.

Cell: 9.363 9.363 9.363 Å, 90.00 90.00 90.00°
Space group Fd-3m (No. 227, origin choice 2)
Unique sites:
Tb 0.000 0.000 0.000 (multiplicity 16)
Sm 0.125 0.125 0.625 (multiplicity 8)

Values from the calculation:
E_form in eV/atom: 0.2762
Total magnetization in μB per formula unit: 0.5
Relative energy among the computed polymorphs in meV per atom: 261.7

## Tb5Sm4 (PBE)

Data for a relaxed structure of Tb5Sm4.

Cell: 3.661 12.211 13.209 Å, 90.00 90.00 90.00°
Space group Immm (No. 71)
Unique sites:
Tb 0.000 0.000 0.000 (multiplicity 2)
Tb 0.000 0.000 0.374 (multiplicity 4)
Tb 0.000 0.294 0.000 (multiplicity 4)
Sm 0.000 0.357 0.311 (multiplicity 8)

Values from the calculation:
E_form in eV/atom: 0.0329
Total magnetization in μB per formula unit: 0.0
Relative energy among the computed polymorphs in meV per atom: 17.7

## Tb4Sm5 (PBE)

Data for a relaxed structure of Tb4Sm5.

Cell: 11.927 10.791 5.083 Å, 90.00 115.13 90.00°
Space group C2/m (No. 12)
Unique sites:
Tb 0.167 0.167 0.167 (multiplicity 8)
Sm 0.000 0.000 0.500 (multiplicity 2)
Sm 0.000 0.332 0.500 (multiplicity 4)
Sm 0.168 0.500 0.168 (multiplicity 4)

Values from the calculation:
E_form in eV/atom: 0.0149
Total magnetization in μB per formula unit: 0.0

## Tb3Sm2Tc2 (PBE)

Data for a relaxed structure of Tb3Sm2Tc2.

Cell: 12.083 3.937 8.544 Å, 90.00 112.77 90.00°
Space group C2/m (No. 12)
Unique sites:
Tb 0.000 0.000 0.000 (multiplicity 2)
Tb 0.125 0.000 0.428 (multiplicity 4)
Sm 0.163 0.500 0.811 (multiplicity 4)
Tc 0.175 0.500 0.216 (multiplicity 4)

Values from the calculation:
E_form in eV/atom: -0.0243
Total magnetization in μB per formula unit: 0.0

## Tb4SmTc (PBE)

Data for a relaxed structure of Tb4SmTc.

Cell: 8.882 3.762 20.620 Å, 90.00 90.00 90.00°
Space group Pnma (No. 62)
Unique sites:
Tb 0.009 0.250 0.067 (multiplicity 4)
Tb 0.037 0.250 0.793 (multiplicity 4)
Tb 0.134 0.250 0.544 (multiplicity 4)
Tb 0.149 0.250 0.359 (multiplicity 4)
Sm 0.226 0.750 0.688 (multiplicity 4)
Tc 0.239 0.250 0.955 (multiplicity 4)

Values from the calculation:
E_form in eV/atom: -0.0015
Total magnetization in μB per formula unit: 0.0

## Tb2SmTc (PBE)

Data for a relaxed structure of Tb2SmTc.

Cell: 3.467 3.467 9.045 Å, 90.00 90.00 90.00°
Space group P4/mmm (No. 123)
Unique sites:
Tb 0.000 0.000 0.183 (multiplicity 2)
Sm 0.500 0.500 0.500 (multiplicity 1)
Tc 0.500 0.500 0.000 (multiplicity 1)

Values from the calculation:
E_form in eV/atom: 0.0384
Total magnetization in μB per formula unit: 0.0
Relative energy among the computed polymorphs in meV per atom: 102.9

## Tb2SmTc (PBE)

Data for a relaxed structure of Tb2SmTc.

Cell: 3.943 12.090 9.256 Å, 90.00 90.00 90.00°
Space group Cmcm (No. 63)
Unique sites:
Tb 0.000 0.146 0.068 (multiplicity 8)
Sm 0.000 0.427 0.250 (multiplicity 4)
Tc 0.000 0.239 0.750 (multiplicity 4)

Values from the calculation:
E_form in eV/atom: -0.0641
Total magnetization in μB per formula unit: 0.0
Relative energy among the computed polymorphs in meV per atom: 0.4

## Tb8Sm2Tc (PBE)

Data for a relaxed structure of Tb8Sm2Tc.

Cell: 18.490 5.517 6.574 Å, 90.00 90.77 90.00°
Space group C2/m (No. 12)
Unique sites:
Tb 0.036 0.000 0.262 (multiplicity 4)
Tb 0.077 0.500 0.872 (multiplicity 4)
Tb 0.145 0.500 0.373 (multiplicity 4)
Tb 0.159 0.000 0.670 (multiplicity 4)
Sm 0.233 0.000 0.168 (multiplicity 4)
Tc 0.000 0.500 0.500 (multiplicity 2)

Values from the calculation:
E_form in eV/atom: 0.0305
Total magnetization in μB per formula unit: 0.0